First-principles (PBE) data for a relaxed structure of PrSm3Tm8, as listed in Alexandria.

Values from the calculation:
- D(E_F): 1.865 states/eV per atom
- Space group: No. 44
- Electronic total energy: -4.54 eV per atom
- Calculated formation energy: 15 meV/atom

Cell: 8.415 8.415 8.415 Å, 99.93 96.03 136.26°
Atoms (fractional coordinates):
Pr 0.000 0.000 0.000
Sm 0.412 0.663 0.749
Sm 0.500 0.000 0.500
Sm 0.913 0.663 0.251
Tm 0.418 0.335 0.419
Tm 0.418 0.999 0.083
Tm 0.496 0.328 0.832
Tm 0.496 0.665 0.168
Tm 0.916 0.335 0.917
Tm 0.916 0.999 0.581
Tm 0.996 0.329 0.333
Tm 0.996 0.663 0.667